(1)
An optimized crystal structure of LiAg2Pt, computed with PBE-GGA.

Structure (CIF):
```
data_LiAg2Pt
_cell_length_a 2.9892
_cell_length_b 4.6294
_cell_length_c 4.6810
_cell_angle_alpha 90.00
_cell_angle_beta 90.00
_cell_angle_gamma 90.00
_space_group_name_H-M_alt 'P m m m'
_space_group_IT_number 47
loop_
_space_group_symop_operation_xyz
'x,y,z'
'-x,-y,-z'
'-x,-y,z'
'x,y,-z'
'x,-y,-z'
'-x,y,z'
'-x,y,-z'
'x,-y,z'
loop_
_atom_site_label
_atom_site_fract_x
_atom_site_fract_y
_atom_site_fract_z
_atom_site_occupancy
Li1 0.0000 0.0000 0.0000 1
Ag1 0.0000 0.5000 0.5000 1
Ag2 0.5000 0.0000 0.5000 1
Pt1 0.5000 0.5000 0.0000 1
```

Properties
* total energy: -3.580 eV/atom

(2)
An optimized crystal structure of LiAg2Pt2, computed with PBE-GGA.

Structure (CIF):
```
data_LiAg2Pt2
_cell_length_a 3.8985
_cell_length_b 3.8985
_cell_length_c 12.7250
_cell_angle_alpha 90.00
_cell_angle_beta 90.00
_cell_angle_gamma 90.00
_space_group_name_H-M_alt 'I 4/m m m'
_space_group_IT_number 139
_space_group_name_Hall '-I 4 2'
loop_
_atom_site_label
_atom_site_fract_x
_atom_site_fract_y
_atom_site_fract_z
_atom_site_occupancy
Li1 0.0000 0.0000 0.0000 1
Ag1 0.0000 0.5000 0.2500 1
Pt1 0.0000 0.0000 0.4023 1
```

Properties
* energy above the lowest structure with this stoichiometry: 201.5 meV/atom
* total energy: -3.736 eV/atom

(3)
An optimized crystal structure of Li4Ag3Pt, computed with PBE-GGA.

Structure (CIF):
```
data_Li4Ag3Pt
_cell_length_a 16.3356
_cell_length_b 4.0841
_cell_length_c 4.0223
_cell_angle_alpha 90.00
_cell_angle_beta 104.10
_cell_angle_gamma 90.00
_space_group_name_H-M_alt 'C 1 2/m 1'
_space_group_IT_number 12
loop_
_space_group_symop_operation_xyz
'x,y,z'
'-x,-y,-z'
'-x,y,-z'
'x,-y,z'
'x+1/2,y+1/2,z'
'-x+1/2,-y+1/2,-z'
'-x+1/2,y+1/2,-z'
'x+1/2,-y+1/2,z'
loop_
_atom_site_label
_atom_site_fract_x
_atom_site_fract_y
_atom_site_fract_z
_atom_site_occupancy
Li1 0.1112 0.0000 0.1103 1
Li2 0.2481 0.0000 0.7485 1
Ag1 0.0000 0.5000 0.0000 1
Ag2 0.1294 0.5000 0.6291 1
Pt1 0.0000 0.0000 0.5000 1
```

Properties
* energy above the lowest structure with this stoichiometry: 86.3 meV/atom
* total energy: -2.998 eV/atom

(4)
An optimized crystal structure of Li2AgPt, computed with PBE-GGA.

Structure (CIF):
```
data_Li2AgPt
_cell_length_a 4.9677
_cell_length_b 2.7994
_cell_length_c 8.9115
_cell_angle_alpha 90.00
_cell_angle_beta 100.95
_cell_angle_gamma 90.00
_space_group_name_H-M_alt 'C 1 m 1'
_space_group_IT_number 8
loop_
_space_group_symop_operation_xyz
'x,y,z'
'x,-y,z'
'x+1/2,y+1/2,z'
'x+1/2,-y+1/2,z'
loop_
_atom_site_label
_atom_site_fract_x
_atom_site_fract_y
_atom_site_fract_z
_atom_site_occupancy
Li1 0.0000 0.0000 0.0000 1
Li2 0.1580 0.0000 0.4682 1
Ag1 0.0807 0.5000 0.7346 1
Pt1 0.2534 0.5000 0.2339 1
```

Properties
* total energy: -3.531 eV/atom